1.
Below is a relaxed CdInOs2 crystal, with properties calculated at the PBE-GGA level.

The space group is P4/mmm (No. 123) and the conventional cell measures 4.061, 4.061 and 4.180 Å, with angles of 90.00, 90.00 and 90.00 degrees. The inequivalent atoms are Cd at (0.000, 0.000, 0.000), In at (0.500, 0.500, 0.000) and Os at (0.000, 0.500, 0.500).

For the energy relative to the elements, the calculation gives 799 meV per atom.

***

2.
Below is a relaxed SrLaHg crystal, with properties calculated at the PBE-GGA level.

The space group is C2/m (No. 12) and the conventional cell measures 18.353, 3.964 and 5.735 Å, with angles of 90.00, 90.06 and 90.00 degrees. The inequivalent atoms are Sr at (0.075, 0.000, 0.251), La at (0.224, 0.000, 0.750) and Hg at (0.084, 0.500, 0.751).

For the energy relative to the elements, the calculation gives -340 meV per atom. As for the offset from the most stable computed form: 0.000 kcal/mol of atoms.

***

3.
Below is a relaxed CaDy2Zn6 crystal, with properties calculated at the PBE-GGA level.

The space group is P6/mmm (No. 191) and the conventional cell measures 7.8040, 7.8040 and 3.5038 Å, with angles of 90.00, 90.00 and 120.00 degrees. The inequivalent atoms are Ca at (0.0000, 0.0000, 0.0000), Dy at (0.3333, 0.6667, 0.0000) and Zn at (0.0000, 0.3345, 0.5000).

For the energy relative to the elements, the calculation gives -340 meV per atom.

***

4.
Below is a relaxed CaTb7Pm4 crystal, with properties calculated at the PBE-GGA level.

The space group is P-1 (No. 2) and the conventional cell measures 6.577, 6.933 and 9.137 Å, with angles of 86.99, 77.29 and 83.02 degrees. The inequivalent atoms are Ca at (0.000, 0.000, 0.000), Tb at (0.000, 0.500, 0.000), Tb at (0.197, 0.096, 0.383), Tb at (0.314, 0.700, 0.640), Tb at (0.488, 0.255, 0.050), Pm at (0.156, 0.603, 0.315) and Pm at (0.362, 0.202, 0.714).

For the energy relative to the elements, the calculation gives 101 meV per atom.

***

Q: energy relative to the elements of number 3 (CaDy2Zn6)?
A: -340 meV per atom

***

Please write out number 3 again, unchanged.
Below is a relaxed CaDy2Zn6 crystal, with properties calculated at the PBE-GGA level.

The space group is P6/mmm (No. 191) and the conventional cell measures 7.8040, 7.8040 and 3.5038 Å, with angles of 90.00, 90.00 and 120.00 degrees. The inequivalent atoms are Ca at (0.0000, 0.0000, 0.0000), Dy at (0.3333, 0.6667, 0.0000) and Zn at (0.0000, 0.3345, 0.5000).

For the energy relative to the elements, the calculation gives -340 meV per atom.

***

Q: Which value of energy relative to the elements does entry 3 give?
A: -340 meV per atom

***

Repeat the second record exactly.
Below is a relaxed SrLaHg crystal, with properties calculated at the PBE-GGA level.

The space group is C2/m (No. 12) and the conventional cell measures 18.353, 3.964 and 5.735 Å, with angles of 90.00, 90.06 and 90.00 degrees. The inequivalent atoms are Sr at (0.075, 0.000, 0.251), La at (0.224, 0.000, 0.750) and Hg at (0.084, 0.500, 0.751).

For the energy relative to the elements, the calculation gives -340 meV per atom. As for the offset from the most stable computed form: 0.000 kcal/mol of atoms.